## A
First-principles (SCAN) data for Zr3Ti2Pb5O15 at its PBEsol-relaxed geometry, as listed in the Alexandria database.

Cell: 12.3714 12.3714 12.3714 Å, 26.83 26.83 26.83°
Last column: nearest neighbours and their distance in Å.
Atoms (fractional coordinates):
Zr  0.0000  0.0000  0.0000  6 O 2.00-2.19
Zr  0.1950  0.1950  0.1950  6 O 2.03-2.15
Zr  0.5978  0.5978  0.5978  6 O 2.02-2.15
Ti  0.3980  0.3980  0.3980  3 O 1.87
Ti  0.7947  0.7947  0.7947  6 O 1.90-2.08
Pb  0.0932  0.0932  0.0932  3 O 2.52
Pb  0.2882  0.2882  0.2882  3 O 2.45
Pb  0.4875  0.4875  0.4875  3 O 2.44
Pb  0.6921  0.6921  0.6921  3 O 2.48
Pb  0.8853  0.8853  0.8853  3 O 2.42
O  0.1091  0.6005  0.6005  1 Ti 1.90
O  0.2071  0.2071  0.7059  1 Ti 1.87
O  0.2071  0.7059  0.2071  1 Ti 1.87
O  0.3203  0.7977  0.7977  2 Zr 2.00-2.15
O  0.3943  0.3943  0.9190  2 Zr 2.02-2.15
O  0.3943  0.9190  0.3943  2 Zr 2.02-2.15
O  0.5211  0.9896  0.9896  1 Zr 2.03, 1 Ti 2.08
O  0.6005  0.1091  0.6005  1 Ti 1.90
O  0.6005  0.6005  0.1091  1 Ti 1.90
O  0.7059  0.2071  0.2071  1 Ti 1.87
O  0.7977  0.3203  0.7977  2 Zr 2.00-2.15
O  0.7977  0.7977  0.3203  2 Zr 2.00-2.15
O  0.9190  0.3943  0.3943  2 Zr 2.02-2.15
O  0.9896  0.5211  0.9896  1 Zr 2.03, 1 Ti 2.08
O  0.9896  0.9897  0.5211  1 Zr 2.03, 1 Ti 2.08

Values from the calculation:
**ρ**: 8.0 g/cm³
**Crystal system**: trigonal
**V**: 340.2 Å³/cell

## B
First-principles (SCAN) data for Zr3Ti2Pb5O15 at its PBEsol-relaxed geometry, as listed in the Alexandria database.

Cell: 14.4909 14.4909 4.2489 Å, 90.27 90.27 22.60°
Last column: nearest neighbours and their distance in Å.
Atoms (fractional coordinates):
Zr  0.0000  0.0000  0.0000  5 O 1.98-2.08
Zr  0.3961  0.3961  0.0025  5 O 1.98-2.10
Zr  0.6038  0.6038  0.0028  5 O 1.98-2.09
Ti  0.2026  0.2026  0.9928  3 O 1.77-1.96
Ti  0.7976  0.7976  0.9928  3 O 1.77-1.94
Pb  0.1052  0.1052  0.4407  4 O 2.47-2.61
Pb  0.2977  0.2977  0.4467  6 O 2.51-2.77
Pb  0.5014  0.5014  0.4346  4 O 2.50-2.57
Pb  0.7041  0.7041  0.4481  5 O 2.47-2.66
Pb  0.8980  0.8980  0.4389  4 O 2.53
O  0.0830  0.6073  0.0785  1 Ti 1.94, 1 Zr 2.10
O  0.1991  0.6967  0.0780  2 Zr 2.06-2.08
O  0.2026  0.2026  0.5765  1 Ti 1.77
O  0.3049  0.7972  0.0783  2 Zr 2.07-2.08
O  0.3895  0.9180  0.0789  1 Ti 1.96, 1 Zr 2.09
O  0.3944  0.3944  0.5362  1 Zr 1.98
O  0.5001  0.9988  0.0823  2 Ti 1.98-2.01
O  0.6039  0.6039  0.5365  1 Zr 1.98
O  0.6073  0.0830  0.0785  1 Ti 1.94, 1 Zr 2.10
O  0.6967  0.1991  0.0780  2 Zr 2.06-2.08
O  0.7958  0.7958  0.5765  1 Ti 1.77
O  0.7972  0.3049  0.0783  2 Zr 2.07-2.08
O  0.9180  0.3895  0.0789  1 Ti 1.96, 1 Zr 2.09
O  0.9988  0.5001  0.0823  2 Ti 1.98-2.01
O  0.9988  0.9988  0.5350  1 Zr 1.98

Values from the calculation:
**ρ**: 8.0 g/cm³
**Crystal system**: monoclinic
**V**: 342.8 Å³/cell

Most stable: B. Least stable: A.

## A
First-principles (SCAN) data for PbWO4 at its PBEsol-relaxed geometry, as listed in the Alexandria database.

Cell: 7.3584 7.0494 14.5853 Å, 90.00 119.36 90.00°
Last column: nearest neighbours and their distance in Å.
Atoms (fractional coordinates):
Pb  0.0052  0.1951  0.3477  5 O 2.45-2.73
Pb  0.0052  0.3049  0.8477  5 O 2.45-2.73
Pb  0.4691  0.0632  0.8483  6 O 2.44-2.66
Pb  0.4691  0.4368  0.3483  6 O 2.44-2.66
Pb  0.5309  0.5632  0.6517  6 O 2.44-2.66
Pb  0.5309  0.9368  0.1517  6 O 2.44-2.66
Pb  0.9948  0.6951  0.1523  5 O 2.45-2.73
Pb  0.9948  0.8049  0.6523  5 O 2.45-2.73
W  0.0046  0.6626  0.4172  4 O 1.81-2.01
W  0.0046  0.8374  0.9172  4 O 1.81-2.01
W  0.4323  0.0497  0.5857  4 O 1.77-1.93
W  0.4323  0.4503  0.0857  4 O 1.77-1.93
W  0.5677  0.5497  0.9143  4 O 1.77-1.93
W  0.5677  0.9503  0.4143  4 O 1.77-1.93
W  0.9954  0.1626  0.0828  4 O 1.81-2.01
W  0.9954  0.3374  0.5828  4 O 1.81-2.01
O  0.1414  0.5757  0.5794  2 W 2.01-2.16
O  0.1414  0.9243  0.0794  2 W 2.01-2.16
O  0.1619  0.2481  0.7146  1 W 1.81
O  0.1619  0.2519  0.2146  1 W 1.81
O  0.1686  0.5088  0.3871  1 W 1.83
O  0.1686  0.9912  0.8871  1 W 1.83
O  0.1728  0.6310  0.9730  1 W 1.82
O  0.1728  0.8690  0.4730  1 W 1.82
O  0.2098  0.2231  0.5427  2 W 1.89-2.09
O  0.2098  0.2769  0.0427  2 W 1.89-2.09
O  0.3607  0.7018  0.8302  1 W 1.77
O  0.3607  0.7982  0.3302  1 W 1.77
O  0.3990  0.5834  0.1826  1 W 1.81
O  0.3990  0.9166  0.6826  1 W 1.81
O  0.4098  0.1376  0.4418  2 W 1.93-2.11
O  0.4098  0.3624  0.9418  2 W 1.93-2.11
O  0.5902  0.6376  0.0582  2 W 1.93-2.11
O  0.5902  0.8624  0.5582  2 W 1.93-2.11
O  0.6010  0.0834  0.3174  1 W 1.81
O  0.6010  0.4166  0.8174  1 W 1.81
O  0.6393  0.2018  0.6698  1 W 1.77
O  0.6393  0.2982  0.1698  1 W 1.77
O  0.7902  0.7231  0.9573  2 W 1.89-2.09
O  0.7902  0.7769  0.4573  2 W 1.89-2.09
O  0.8272  0.1310  0.5270  1 W 1.82
O  0.8272  0.3690  0.0270  1 W 1.82
O  0.8314  0.0088  0.1129  1 W 1.83
O  0.8314  0.4912  0.6129  1 W 1.83
O  0.8381  0.7481  0.7854  1 W 1.81
O  0.8381  0.7519  0.2854  1 W 1.81
O  0.8586  0.0757  0.9206  2 W 2.01-2.16
O  0.8586  0.4243  0.4206  2 W 2.01-2.16

Values from the calculation:
**ρ**: 9.2 g/cm³
**Crystal system**: monoclinic
**V**: 659.4 Å³/cell

## B
First-principles (SCAN) data for PbWO4 at its PBEsol-relaxed geometry, as listed in the Alexandria database.

Cell: 5.5826 4.9913 13.6094 Å, 90.00 108.78 90.00°
Last column: nearest neighbours and their distance in Å.
Atoms (fractional coordinates):
Pb  0.1680  0.2021  0.1527  5 O 2.36-2.64
Pb  0.1680  0.2979  0.6527  5 O 2.36-2.64
Pb  0.8320  0.7021  0.3473  5 O 2.36-2.64
Pb  0.8320  0.7979  0.8473  5 O 2.36-2.64
W  0.3904  0.2494  0.4229  4 O 1.79-1.94
W  0.3904  0.2506  0.9229  4 O 1.79-1.94
W  0.6096  0.7494  0.0771  4 O 1.79-1.94
W  0.6096  0.7506  0.5771  4 O 1.79-1.94
O  0.0895  0.1174  0.3460  1 W 1.79
O  0.0895  0.3826  0.8460  1 W 1.79
O  0.2700  0.5472  0.4789  1 W 1.89
O  0.2700  0.9528  0.9789  1 W 1.89
O  0.3882  0.0588  0.5593  2 W 1.94-2.09
O  0.3882  0.4412  0.0593  2 W 1.94-2.09
O  0.4716  0.1127  0.8140  1 W 1.82
O  0.4716  0.3873  0.3140  1 W 1.82
O  0.5284  0.6127  0.6860  1 W 1.82
O  0.5284  0.8873  0.1860  1 W 1.82
O  0.6118  0.5588  0.9407  2 W 1.94-2.09
O  0.6118  0.9412  0.4407  2 W 1.94-2.09
O  0.7300  0.0472  0.0211  1 W 1.89
O  0.7300  0.4528  0.5211  1 W 1.89
O  0.9105  0.6174  0.1540  1 W 1.79
O  0.9105  0.8826  0.6540  1 W 1.79

Values from the calculation:
**ρ**: 8.4 g/cm³
**Crystal system**: monoclinic
**V**: 359.0 Å³/cell

## C
First-principles (SCAN) data for PbWO4 at its PBEsol-relaxed geometry, as listed in the Alexandria database.

Cell: 7.0931 7.0931 7.0931 Å, 134.70 134.70 66.00°
Last column: nearest neighbours and their distance in Å.
Atoms (fractional coordinates):
Pb  0.3750  0.1250  0.2500  8 O 2.59-2.62
Pb  0.6250  0.8750  0.7500  8 O 2.59-2.62
W  0.1250  0.3750  0.7500  4 O 1.80
W  0.8750  0.6250  0.2500  4 O 1.80
O  0.0623  0.6908  0.8356  1 W 1.80
O  0.1908  0.8552  0.6285  1 W 1.80
O  0.2733  0.4377  0.1285  1 W 1.80
O  0.3552  0.2267  0.6644  1 W 1.80
O  0.6448  0.7733  0.3356  1 W 1.80
O  0.7267  0.5623  0.8715  1 W 1.80
O  0.8092  0.1448  0.3715  1 W 1.80
O  0.9377  0.3092  0.1644  1 W 1.80

Values from the calculation:
**ρ**: 8.5 g/cm³
**Crystal system**: tetragonal
**V**: 177.6 Å³/cell

Most stable: C. Least stable: A.